Record 1
BaZn2OsSe meta-GGA SCAN PBEsol geometry; theoretical density = 5.0 g/cm3; V = 178.1 Å³/cell; ΔE_f (raw) = 44.94 kcal/mol of atoms
1.0
5.287 0.000 0.000
0.000 5.804 0.000
0.000 0.000 5.804
Ba Zn Se Os
1 2 1 1
Cartesian
0.000 0.000 0.000
0.000 0.000 2.902
0.000 2.902 0.000
2.644 2.902 2.902
2.644 0.000 0.000

Record 2
ScPtSe2 meta-GGA SCAN PBEsol geometry; theoretical density = 8.4 g/cm3; V = 78.3 Å³/cell; ΔE_f (raw) = -24.45 kcal/mol of atoms; energy above the most stable polymorph in this dataset = 0.000 eV per atom
1.0
-3.205 -1.426 0.167
1.416 -3.026 1.328
0.213 4.433 5.007
Pt Sc Se
1 1 2
Cartesian
-0.681 2.206 5.750
0.445 -0.661 2.884
-1.984 0.523 3.304
-0.038 0.122 0.319

Record 3
K2CdFe meta-GGA SCAN PBEsol geometry; theoretical density = 3.6 g/cm3; V = 112.2 Å³/cell; uncorrected energy = -62.5 eV for the cell shown
1.0
-3.079 2.719 -1.948
0.046 -2.611 -3.717
-2.480 -3.087 4.914
Cd Fe K
1 1 2
Cartesian
-1.539 1.360 -0.974
0.023 -1.306 -1.858
-3.519 -1.465 -1.790
-1.994 -1.514 1.039

Record 4
BaTiI2 meta-GGA SCAN PBEsol geometry; theoretical density = 4.5 g/cm3; V = 326.9 Å³/cell; ΔE_f (raw) = -11.40 kcal/mol of atoms; energy above the most stable polymorph in this dataset = 0.000 eV per atom
1.0
6.171 0.000 0.000
0.000 6.171 0.000
-3.086 -3.086 8.583
I Ba Ti
4 2 2
Cartesian
1.543 1.052 6.437
-1.543 -1.052 6.437
2.033 4.628 2.146
4.138 1.543 2.146
0.000 0.000 0.000
0.000 3.086 4.291
3.086 3.086 0.000
3.086 0.000 4.291

Among the records above, which one has the lowest V? ScPtSe2

Which formula does entry 1 have? BaZn2OsSe

Which of these has the lowest V? ScPtSe2